Record 1
Here is an optimized crystal structure of PrZrZn2 from Alexandria via LeMat-Bulk. Energies are from PBE.

Lattice parameters (Å, degrees): 3.4948 3.4948 9.1312 78.97 78.97 60.00
Last column: nearest neighbours and their distance in Å.
Fractional positions:
Zn1 0.2578 0.2578 0.2266  3 Zr 2.85, 3 Pr 3.16
Zn2 0.7422 0.7422 0.7734  3 Zr 2.85, 3 Pr 3.16
Pr1 0.5000 0.5000 0.5000  6 Zn 3.16, 6 Pr 3.49
Zr1 0.0000 0.0000 0.0000  6 Zn 2.85

**Space-group type**: No. 166
**Formation energy from the elements**: 0.000 eV/atom
**ΔE to the lowest computed polymorph**: 0.244 eV per atom



Record 2
Here is an optimized crystal structure of PrZr2 from Alexandria via LeMat-Bulk. Energies are from PBE.

Lattice parameters (Å, degrees): 6.1823 6.1823 6.1823 60.00 60.00 60.00
Last column: nearest neighbours and their distance in Å.
Fractional positions:
Pr1 0.2500 0.2500 0.2500  12 Zr 3.62, 4 Pr 3.79
Pr2 0.0000 0.0000 0.0000  12 Zr 3.62, 4 Pr 3.79
Zr1 0.6250 0.6250 0.1250  6 Zr 3.09
Zr2 0.6250 0.1250 0.6250  6 Zr 3.09
Zr3 0.6250 0.6250 0.6250  6 Zr 3.09
Zr4 0.1250 0.6250 0.6250  6 Zr 3.09

**Space-group type**: No. 227
**Formation energy from the elements**: 0.282 eV/atom
**ΔE to the lowest computed polymorph**: 0.142 eV per atom



Record 3
Here is an optimized crystal structure of Pr3Zr from Alexandria via LeMat-Bulk. Energies are from PBE.

Lattice parameters (Å, degrees): 7.2267 7.2267 5.7674 90.00 90.00 120.00
Last column: nearest neighbours and their distance in Å.
Fractional positions:
Pr1 0.3451 0.1725 0.7500  8 Pr 3.49-3.74, 4 Zr 3.52-3.61
Pr2 0.1725 0.3451 0.2500  8 Pr 3.49-3.74, 4 Zr 3.52-3.61
Pr3 0.8275 0.6549 0.7500  8 Pr 3.49-3.74, 4 Zr 3.52-3.61
Pr4 0.8275 0.1725 0.7500  8 Pr 3.49-3.74, 4 Zr 3.52-3.61
Pr5 0.1725 0.8275 0.2500  8 Pr 3.49-3.74, 4 Zr 3.52-3.61
Pr6 0.6549 0.8275 0.2500  8 Pr 3.49-3.74, 4 Zr 3.52-3.61
Zr1 0.6667 0.3333 0.2500  12 Pr 3.52-3.61
Zr2 0.3333 0.6667 0.7500  12 Pr 3.52-3.61

**Space-group type**: No. 194
**Formation energy from the elements**: 0.161 eV/atom
**ΔE to the lowest computed polymorph**: 0.007 eV per atom



Record 4
Here is an optimized crystal structure of PrZr2 from Alexandria via LeMat-Bulk. Energies are from PBE.

Lattice parameters (Å, degrees): 3.2681 3.2681 7.9086 101.92 101.92 90.00
Last column: nearest neighbours and their distance in Å.
Fractional positions:
Zr1 0.3205 0.3205 0.6409  8 Zr 3.14-3.27
Zr2 0.6795 0.6795 0.3591  8 Zr 3.14-3.27
Pr1 0.0000 0.0000 0.0000  4 Pr 3.27, 8 Zr 3.57

**Space-group type**: No. 139
**Formation energy from the elements**: 0.140 eV/atom
**ΔE to the lowest computed polymorph**: 0.000 eV per atom



Record 5
Here is an optimized crystal structure of Pr3Zr from Alexandria via LeMat-Bulk. Energies are from PBE.

Lattice parameters (Å, degrees): 3.5550 6.1884 6.8670 116.78 105.00 90.00
Last column: nearest neighbours and their distance in Å.
Fractional positions:
Pr1 0.2629 0.6004 0.5258  3 Zr 3.46-3.71, 9 Pr 3.52-3.68
Pr2 0.7371 0.0746 0.4742  3 Zr 3.46-3.71, 9 Pr 3.52-3.68
Pr3 0.5000 0.4880 0.0000  4 Zr 3.48-3.65, 8 Pr 3.52-3.68
Zr1 0.0000 0.0036 0.0000  10 Pr 3.46-3.71, 2 Zr 3.56

**Space-group type**: No. 44
**Formation energy from the elements**: 0.173 eV/atom
**ΔE to the lowest computed polymorph**: 0.018 eV per atom



Record 6
Here is an optimized crystal structure of Pr3Zr from Alexandria via LeMat-Bulk. Energies are from PBE.

Lattice parameters (Å, degrees): 5.8100 3.5579 6.2493 90.00 90.00 90.00
Last column: nearest neighbours and their distance in Å.
Fractional positions:
Zr1 0.0000 0.0000 0.9961  10 Pr 3.49-3.61, 2 Zr 3.56
Pr1 0.5000 0.0000 0.6861  10 Pr 3.45-3.75, 2 Zr 3.49
Pr2 0.5000 0.5000 0.1584  8 Pr 3.45-3.75, 4 Zr 3.55
Pr3 0.0000 0.5000 0.4928  8 Pr 3.56-3.61, 4 Zr 3.58-3.61

**Space-group type**: No. 25
**Formation energy from the elements**: 0.171 eV/atom
**ΔE to the lowest computed polymorph**: 0.017 eV per atom



Question: Look up the formation energy from the elements of the sixth one.
Answer: 0.171 eV/atom



Question: Among the records above, which one has the lowest formation energy from the elements?
Answer: PrZrZn2